Record 1
Ho12HgPd6, relaxed, DFT GGA-PBE; ΔE to the lowest computed polymorph = 150 meV per atom; mass density = 8667 kg/m³; DOS at the Fermi energy = 18.3 states/eV per cell; energy of formation = -0.462 eV per atom
1.0
6.615 3.819 3.562
-6.615 3.819 3.562
0.000 -7.638 3.562
Ho Hg Pd
12 1 6
direct
0.070 0.926 0.330
0.074 0.670 0.930
0.169 0.411 0.554
0.330 0.070 0.926
0.411 0.554 0.169
0.446 0.831 0.589
0.554 0.169 0.411
0.589 0.446 0.831
0.670 0.930 0.074
0.831 0.589 0.446
0.926 0.330 0.070
0.930 0.074 0.670
0.000 0.000 0.000
0.145 0.618 0.317
0.317 0.145 0.618
0.382 0.683 0.855
0.618 0.317 0.145
0.683 0.855 0.382
0.855 0.382 0.683



Record 2
Ba2MnRe, relaxed, DFT GGA-PBE; ΔE to the lowest computed polymorph = 951 meV per atom; mass density = 7445 kg/m³; DOS at the Fermi energy = 4.9 states/eV per cell; energy of formation = 1.422 eV per atom
1.0
1.776 1.025 10.533
-1.776 1.025 10.533
0.000 -2.050 10.533
Ba Mn Re
2 1 1
direct
0.243 0.243 0.243
0.757 0.757 0.757
0.000 0.000 0.000
0.500 0.500 0.500



Record 3
K2NaBi, relaxed, DFT GGA-PBE; mass density = 3063 kg/m³; DOS at the Fermi energy = 1.9 states/eV per cell; energy of formation = -0.076 eV per atom
1.0
-2.629 2.629 12.169
2.629 -2.629 12.169
2.629 2.629 -12.169
K Na Bi
4 2 2
direct
0.113 0.625 0.988
0.375 0.363 0.488
0.637 0.125 0.012
0.875 0.887 0.512
0.250 0.750 0.500
0.500 0.500 0.000
0.000 0.000 0.000
0.750 0.250 0.500



Record 4
Mg2In3Ag5, relaxed, DFT GGA-PBE; mass density = 7383 kg/m³; DOS at the Fermi energy = 2.3 states/eV per cell; energy of formation = -0.054 eV per atom
1.0
4.703 0.000 0.000
2.345 5.133 0.000
0.007 0.433 8.688
Mg In Ag
2 3 5
direct
0.040 0.423 0.286
0.960 0.577 0.714
0.260 0.982 0.629
0.500 0.500 0.000
0.740 0.018 0.371
0.162 0.176 0.967
0.328 0.841 0.240
0.500 0.500 0.500
0.672 0.159 0.760
0.838 0.824 0.033



Record 5
LiPrDyOs, relaxed, DFT GGA-PBE; mass density = 9420 kg/m³; DOS at the Fermi energy = 2.3 states/eV per cell; energy of formation = -0.127 eV per atom
1.0
0.000 3.534 3.534
3.534 0.000 3.534
3.534 3.534 0.000
Li Pr Dy Os
1 1 1 1
direct
0.000 0.000 0.000
0.750 0.750 0.750
0.250 0.250 0.250
0.500 0.500 0.500



Record 6
Mg5AlTl, relaxed, DFT GGA-PBE; ΔE to the lowest computed polymorph = 0 meV per atom; mass density = 3478 kg/m³; DOS at the Fermi energy = 2.8 states/eV per cell; energy of formation = 0.052 eV per atom
1.0
4.669 0.000 0.000
0.000 4.669 0.000
0.000 0.000 7.728
Mg Al Tl
5 1 1
direct
0.000 0.000 0.000
0.000 0.500 0.290
0.000 0.500 0.710
0.500 0.000 0.290
0.500 0.000 0.710
0.500 0.500 0.500
0.500 0.500 0.000



Record 7
V3CdRe, relaxed, DFT GGA-PBE; ΔE to the lowest computed polymorph = 0 meV per atom; mass density = 7645 kg/m³; DOS at the Fermi energy = 5.6 states/eV per cell; energy of formation = 1.058 eV per atom
1.0
4.611 0.000 0.000
0.000 4.611 0.000
0.000 0.000 4.611
V Cd Re
3 1 1
direct
0.000 0.000 0.500
0.000 0.500 0.000
0.500 0.000 0.000
0.500 0.500 0.500
0.000 0.000 0.000



Record 8
SrPuSb2, relaxed, DFT GGA-PBE; ΔE to the lowest computed polymorph = 50 meV per atom; mass density = 6886 kg/m³; DOS at the Fermi energy = 15.2 states/eV per cell
1.0
2.284 1.319 7.672
-2.284 1.319 7.672
0.000 -2.638 7.672
Sr Pu Sb
1 1 2
direct
0.000 0.000 0.000
0.171 0.171 0.171
0.576 0.576 0.576
0.764 0.764 0.764



Record 9
Y4HoEr2Tm2, relaxed, DFT GGA-PBE; mass density = 7032 kg/m³; DOS at the Fermi energy = 13.0 states/eV per cell; energy of formation = 0.005 eV per atom
1.0
9.272 -1.784 0.000
9.272 1.784 0.000
-4.122 0.000 8.516
Y Ho Er Tm
4 1 2 2
direct
0.019 0.019 0.335
0.314 0.314 0.668
0.686 0.686 0.332
0.981 0.981 0.665
0.500 0.500 0.000
0.351 0.351 0.332
0.649 0.649 0.668
0.167 0.167 0.998
0.833 0.833 0.002



Record 10
LiS2NCl, relaxed, DFT GGA-PBE; ΔE to the lowest computed polymorph = 1099 meV per atom; mass density = 1944 kg/m³; DOS at the Fermi energy = 3.8 states/eV per cell
1.0
4.551 0.000 0.000
0.000 4.551 0.000
0.000 0.000 4.970
Li S N Cl
1 2 1 1
direct
0.000 0.000 0.000
0.000 0.500 0.000
0.500 0.000 0.000
0.500 0.500 0.500
0.000 0.000 0.500



Record 11
PmSmSbCl, relaxed, DFT GGA-PBE; calculated total energy = -5.0424 eV per atom; mass density = 7139 kg/m³; DOS at the Fermi energy = 3.0 states/eV per cell
1.0
0.000 3.748 3.748
3.748 0.000 3.748
3.748 3.748 0.000
Pm Sm Sb Cl
1 1 1 1
direct
0.000 0.000 0.000
0.500 0.500 0.500
0.750 0.750 0.750
0.250 0.250 0.250



Record 12
Pd14PtRh, relaxed, DFT GGA-PBE; mass density = 12102 kg/m³; DOS at the Fermi energy = 35.3 states/eV per cell; energy of formation = 0.027 eV per atom
1.0
9.168 0.000 0.000
0.000 2.779 4.814
0.000 -2.779 4.814
Pd Pt Rh
14 1 1
direct
0.000 0.000 0.000
0.000 0.000 0.500
0.000 0.500 0.000
0.000 0.500 0.500
0.249 0.333 0.333
0.251 0.833 0.833
0.252 0.334 0.833
0.252 0.833 0.334
0.500 0.166 0.666
0.500 0.666 0.166
0.748 0.334 0.833
0.748 0.833 0.334
0.749 0.833 0.833
0.751 0.333 0.333
0.500 0.167 0.167
0.500 0.667 0.667



Record 13
ScIn3N, relaxed, DFT GGA-PBE; ΔE to the lowest computed polymorph = 0 meV per atom; mass density = 6248 kg/m³; DOS at the Fermi energy = 5.5 states/eV per cell
1.0
4.751 0.000 0.000
0.000 4.751 0.000
0.000 0.000 4.751
Sc In N
1 3 1
direct
0.000 0.000 0.000
0.000 0.500 0.500
0.500 0.000 0.500
0.500 0.500 0.000
0.500 0.500 0.500



Record 14
ThS2Br, relaxed, DFT GGA-PBE; calculated total energy = -5.7988 eV per atom; mass density = 5031 kg/m³; DOS at the Fermi energy = 2.9 states/eV per cell
1.0
2.067 -7.464 0.000
2.067 7.464 0.000
0.000 0.000 8.047
Th S Br
2 4 2
direct
0.227 0.773 0.750
0.773 0.227 0.250
0.174 0.826 0.095
0.174 0.826 0.405
0.826 0.174 0.595
0.826 0.174 0.905
0.417 0.583 0.250
0.583 0.417 0.750



Record 15
BaU2S6, relaxed, DFT GGA-PBE; ΔE to the lowest computed polymorph = 0 meV per atom; mass density = 6062 kg/m³; DOS at the Fermi energy = 3.1 states/eV per cell
1.0
3.314 -4.427 0.000
3.314 4.427 0.000
-1.384 0.000 7.524
Ba U S
1 2 6
direct
0.000 0.000 0.000
0.260 0.740 0.500
0.740 0.260 0.500
0.119 0.490 0.769
0.229 0.229 0.407
0.490 0.119 0.769
0.510 0.881 0.231
0.771 0.771 0.593
0.881 0.510 0.231



Record 16
GeP, relaxed, DFT GGA-PBE; mass density = 4341 kg/m³; DOS at the Fermi energy = 0.3 states/eV per cell; energy of formation = 0.055 eV per atom
1.0
-1.872 2.390 2.215
1.872 -2.390 2.215
1.872 2.390 -2.215
Ge P
1 1
direct
0.000 0.000 0.000
0.655 0.155 0.500



Record 17
NaSbRhO4, relaxed, DFT GGA-PBE; calculated total energy = -5.8365 eV per atom; mass density = 5374 kg/m³
1.0
-3.114 3.148 4.911
3.114 -3.148 4.911
3.114 3.148 -4.911
Na Sb Rh O
2 2 2 8
direct
0.353 0.103 0.250
0.647 0.897 0.750
0.000 0.000 0.500
0.000 0.500 0.000
0.000 0.500 0.500
0.500 0.500 0.000
0.206 0.240 0.535
0.206 0.671 0.965
0.208 0.244 0.964
0.220 0.756 0.464
0.780 0.244 0.536
0.792 0.756 0.036
0.794 0.329 0.035
0.794 0.760 0.465



Record 18
PaSnH, relaxed, DFT GGA-PBE; ΔE to the lowest computed polymorph = 0 meV per atom; mass density = 10672 kg/m³; DOS at the Fermi energy = 8.6 states/eV per cell
1.0
2.036 -5.969 0.000
2.036 5.969 0.000
0.000 0.000 4.492
Pa Sn H
2 2 2
direct
0.160 0.840 0.750
0.840 0.160 0.250
0.424 0.576 0.750
0.576 0.424 0.250
0.245 0.755 0.250
0.755 0.245 0.750



Record 19
K2TaAg, relaxed, DFT GGA-PBE; ΔE to the lowest computed polymorph = 10 meV per atom; mass density = 4969 kg/m³; DOS at the Fermi energy = 3.8 states/eV per cell; energy of formation = 0.809 eV per atom
1.0
3.263 0.000 0.000
0.000 3.263 0.000
0.000 0.000 11.521
K Ta Ag
2 1 1
direct
0.000 0.000 0.000
0.500 0.500 0.370
0.000 0.000 0.632
0.500 0.500 0.774



Record 20
Rb2CrSiSe4, relaxed, DFT GGA-PBE; calculated total energy = -4.3900 eV per atom; mass density = 4603 kg/m³; DOS at the Fermi energy = 2.6 states/eV per cell
1.0
-4.143 4.209 5.864
4.143 -4.209 5.864
4.143 4.209 -5.864
Rb Cr Si Se
4 2 2 8
direct
0.000 0.000 0.000
0.500 0.000 0.000
0.500 0.000 0.500
0.500 0.500 0.500
0.000 0.000 0.500
0.000 0.500 0.000
0.000 0.500 0.500
0.500 0.500 0.000
0.176 0.729 0.447
0.217 0.271 0.947
0.221 0.261 0.540
0.221 0.681 0.960
0.779 0.319 0.040
0.779 0.739 0.460
0.783 0.729 0.053
0.824 0.271 0.553